Entry 1:
K2LaYO4: optimized geometry, GGA-PBE.

POSCAR file:
```
K2LaYO4
1.0
6.253 0.000 0.000
0.000 3.609 0.000
-2.083 0.000 6.281
K La Y O
2 1 1 4
Cartesian
0.000 0.000 0.000
3.127 1.805 0.000
-1.042 1.805 3.141
2.085 0.000 3.141
0.082 0.000 4.327
1.106 1.805 1.961
3.065 1.805 4.320
4.089 0.000 1.954
```

As for the total energy: -6.87 eV per atom. The calculation puts the volume at 141.77 Å³/cell. For the density of states at the Fermi level, the calculation gives 0.000 states/eV/f.u.

Entry 2:
SrNd2ZnO5: optimized geometry, GGA-PBE.

POSCAR file:
```
SrNd2ZnO5
1.0
-3.376 3.376 5.757
3.376 -3.376 5.757
3.376 3.376 -5.757
Sr Nd Zn O
2 4 2 10
Cartesian
0.000 0.000 2.879
0.000 0.000 8.636
4.542 1.166 0.000
1.166 2.210 0.000
2.210 1.166 5.757
-1.166 2.210 5.757
3.376 0.000 2.879
0.000 3.376 2.879
0.000 0.000 0.000
2.371 1.004 -1.535
2.371 -1.004 4.222
2.371 1.004 1.535
2.371 -1.004 7.292
0.000 0.000 5.757
1.004 4.380 -1.535
1.004 2.371 4.222
1.004 4.380 1.535
1.004 2.371 7.292
```

As for the total energy: -6.89 eV per atom. The calculation puts the volume at 262.41 Å³/cell. For the density of states at the Fermi level, the calculation gives 0.000 states/eV/f.u.